No. 1
A crystal of KCa12Si4S2O26F relaxed with PBEsol. Source: Alexandria via LeMat-Bulk, functional SCAN.

a b c (Å): 14.257 14.257 14.257
angles (deg): 29.10 29.10 29.10
Atoms (fractional coordinates):
K (0.000, 0.000, 0.000)
Ca (0.083, 0.556, 0.556)
Ca (0.225, 0.688, 0.688)
Ca (0.312, 0.312, 0.775)
Ca (0.312, 0.775, 0.312)
Ca (0.444, 0.444, 0.917)
Ca (0.444, 0.917, 0.444)
Ca (0.556, 0.083, 0.556)
Ca (0.556, 0.556, 0.083)
Ca (0.688, 0.225, 0.688)
Ca (0.688, 0.688, 0.225)
Ca (0.775, 0.312, 0.312)
Ca (0.917, 0.444, 0.444)
Si (0.083, 0.083, 0.083)
Si (0.204, 0.204, 0.204)
Si (0.796, 0.796, 0.796)
Si (0.917, 0.917, 0.917)
S (0.323, 0.323, 0.323)
S (0.677, 0.677, 0.677)
O (0.061, 0.681, 0.681)
O (0.124, 0.124, 0.124)
O (0.182, 0.800, 0.800)
O (0.198, 0.198, 0.536)
O (0.198, 0.536, 0.198)
O (0.200, 0.200, 0.818)
O (0.200, 0.818, 0.200)
O (0.245, 0.245, 0.245)
O (0.319, 0.319, 0.939)
O (0.319, 0.939, 0.319)
O (0.360, 0.360, 0.360)
O (0.432, 0.432, 0.432)
O (0.464, 0.802, 0.802)
O (0.536, 0.198, 0.198)
O (0.568, 0.568, 0.568)
O (0.640, 0.640, 0.640)
O (0.681, 0.061, 0.681)
O (0.681, 0.681, 0.061)
O (0.755, 0.755, 0.755)
O (0.800, 0.182, 0.800)
O (0.800, 0.800, 0.182)
O (0.802, 0.464, 0.802)
O (0.802, 0.802, 0.464)
O (0.818, 0.200, 0.200)
O (0.876, 0.876, 0.876)
O (0.939, 0.319, 0.319)
F (0.500, 0.500, 0.500)

uncorrected formation energy: -71.794 kcal/mol of atoms
space-group type: R-3m, No. 166
calculated volume: 13.2 A^3/atom
theoretical density: 3.1 Mg/m³


No. 2
A crystal of SrCaH3 relaxed with PBEsol. Source: Alexandria via LeMat-Bulk, functional SCAN.

a b c (Å): 4.283 4.283 4.283
angles (deg): 90.00 90.00 90.00
Atoms (fractional coordinates):
Sr (0.000, 0.000, 0.000)
Ca (0.500, 0.500, 0.500)
H (0.000, 0.500, 0.500)
H (0.500, 0.000, 0.500)
H (0.500, 0.500, 0.000)

space-group type: Pm-3m, No. 221
calculated volume: 15.7 A^3/atom
theoretical density: 2.8 Mg/m³
VASP energy: -8.89 eV/atom


No. 3
A crystal of LaCr2Cd2 relaxed with PBEsol. Source: Alexandria via LeMat-Bulk, functional SCAN.

a b c (Å): 9.961 9.961 9.961
angles (deg): 161.56 161.56 26.19
Atoms (fractional coordinates):
La (0.000, 0.000, 0.000)
Cr (0.250, 0.750, 0.500)
Cr (0.750, 0.250, 0.500)
Cd (0.371, 0.371, 0.000)
Cd (0.629, 0.629, 0.000)

energy of formation: 2.1 eV/f.u.
space-group type: I4/mmm, No. 139
calculated volume: 19.8 A^3/atom
theoretical density: 7.9 Mg/m³


No. 4
A crystal of Cr2ReTc relaxed with PBEsol. Source: Alexandria via LeMat-Bulk, functional SCAN.

a b c (Å): 2.876 2.876 6.170
angles (deg): 90.00 90.00 90.00
Atoms (fractional coordinates):
Cr (0.000, 0.000, 0.000)
Cr (0.500, 0.500, 0.196)
Re (0.000, 0.000, 0.461)
Tc (0.500, 0.500, 0.739)

energy of formation: 0.0 eV/f.u.
space-group type: P4mm, No. 99
calculated volume: 12.8 A^3/atom
theoretical density: 12.6 Mg/m³


No. 5
A crystal of PbCl5 relaxed with PBEsol. Source: Alexandria via LeMat-Bulk, functional SCAN.

a b c (Å): 5.458 5.458 9.610
angles (deg): 115.22 115.22 38.87
Atoms (fractional coordinates):
Pb (0.000, 0.000, 0.000)
Cl (0.173, 0.173, 0.568)
Cl (0.290, 0.290, 0.999)
Cl (0.468, 0.468, 0.767)
Cl (0.660, 0.660, 0.231)
Cl (0.960, 0.960, 0.412)

uncorrected formation energy: -11.161 kcal/mol of atoms
space-group type: Cm, No. 8
calculated volume: 26.7 A^3/atom
theoretical density: 4.0 Mg/m³


No. 6
A crystal of CuP2Ir relaxed with PBEsol. Source: Alexandria via LeMat-Bulk, functional SCAN.

a b c (Å): 3.541 3.844 4.350
angles (deg): 90.00 98.99 90.00
Atoms (fractional coordinates):
Cu (0.000, 0.000, 0.000)
P (0.349, 0.500, 0.195)
P (0.651, 0.500, 0.805)
Ir (0.500, 0.000, 0.500)

energy of formation: -0.2 eV/f.u.
space-group type: P2/m, No. 10
calculated volume: 14.6 A^3/atom
theoretical density: 9.0 Mg/m³